(1)
Computed, not measured: crystalline Ta9Co2S6 at its relaxed geometry at the GGA-PBE level of DFT.

a = 10.271 Å, b = 10.271 Å, c = 3.338 Å
α = 90.00°, β = 90.00°, γ = 120.00°
Sites, in units of the cell vectors:
Ta 0.000 0.456 0.000
Ta 0.200 0.737 0.500
Ta 0.263 0.463 0.500
Ta 0.456 0.000 0.000
Ta 0.463 0.263 0.500
Ta 0.537 0.800 0.500
Ta 0.544 0.544 0.000
Ta 0.737 0.200 0.500
Ta 0.800 0.537 0.500
Co 0.333 0.667 0.000
Co 0.667 0.333 0.000
S 0.000 0.273 0.500
S 0.000 0.706 0.000
S 0.273 0.000 0.500
S 0.294 0.294 0.000
S 0.706 0.000 0.000
S 0.727 0.727 0.500

Properties
VASP energy (eV per atom): -9.32
SG: No. 189
M_tot (μB/atom): 0.00

---

(2)
Computed, not measured: crystalline KTb2GdMg3In2 at its relaxed geometry at the GGA-PBE level of DFT.

a = 4.783 Å, b = 7.908 Å, c = 7.908 Å
α = 120.15°, β = 90.00°, γ = 90.00°
Sites, in units of the cell vectors:
K 0.000 0.000 0.000
Tb 0.000 0.436 0.999
Tb 0.000 0.999 0.436
Gd 0.000 0.564 0.564
Mg 0.500 0.267 0.267
Mg 0.500 0.732 0.999
Mg 0.500 0.999 0.732
In 0.500 0.332 0.666
In 0.500 0.666 0.332

Properties
VASP energy (eV per atom): -2.79
SG: No. 38
M_tot (μB/atom): 0.00

---

(3)
Computed, not measured: crystalline ScCd2Cu2 at its relaxed geometry at the GGA-PBE level of DFT.

a = 3.926 Å, b = 3.926 Å, c = 11.934 Å
α = 90.00°, β = 90.00°, γ = 90.00°
Sites, in units of the cell vectors:
Sc 0.000 0.000 0.000
Sc 0.500 0.500 0.500
Cd 0.000 0.000 0.389
Cd 0.000 0.000 0.611
Cd 0.500 0.500 0.111
Cd 0.500 0.500 0.889
Cu 0.000 0.500 0.250
Cu 0.000 0.500 0.750
Cu 0.500 0.000 0.250
Cu 0.500 0.000 0.750

Properties
ΔE_f (eV per atom): 0.083
SG: No. 139
M_tot (μB/atom): 0.00

---

(4)
Computed, not measured: crystalline Dy2Y2CBr4Cl at its relaxed geometry at the GGA-PBE level of DFT.

a = 9.092 Å, b = 9.092 Å, c = 7.899 Å
α = 102.73°, β = 102.73°, γ = 24.01°
Sites, in units of the cell vectors:
Dy 0.001 0.001 0.292
Dy 0.999 0.999 0.708
Y 0.361 0.361 0.425
Y 0.639 0.639 0.575
C 0.500 0.500 0.500
Br 0.164 0.164 0.852
Br 0.170 0.170 0.322
Br 0.830 0.830 0.678
Br 0.836 0.836 0.148
Cl 0.500 0.500 0.000

Properties
VASP energy (eV per atom): -5.47
SG: No. 12
M_tot (μB/atom): 0.01

---

(5)
Computed, not measured: crystalline PmNbB at its relaxed geometry at the GGA-PBE level of DFT.

a = 6.472 Å, b = 6.472 Å, c = 6.472 Å
α = 90.00°, β = 90.00°, γ = 90.00°
Sites, in units of the cell vectors:
Pm 0.000 0.000 0.000
Pm 0.000 0.500 0.500
Pm 0.500 0.000 0.500
Pm 0.500 0.500 0.000
Nb 0.250 0.250 0.250
Nb 0.250 0.750 0.750
Nb 0.750 0.250 0.750
Nb 0.750 0.750 0.250
B 0.250 0.250 0.750
B 0.250 0.750 0.250
B 0.750 0.250 0.250
B 0.750 0.750 0.750

Properties
VASP energy (eV per atom): -5.36
SG: No. 216
M_tot (μB/atom): 0.96

---

(6)
Computed, not measured: crystalline LiTl2ZnCl6 at its relaxed geometry at the GGA-PBE level of DFT.

a = 6.979 Å, b = 6.979 Å, c = 6.979 Å
α = 60.00°, β = 60.00°, γ = 60.00°
Sites, in units of the cell vectors:
Li 0.000 0.000 0.000
Tl 0.250 0.250 0.250
Tl 0.750 0.750 0.750
Zn 0.500 0.500 0.500
Cl 0.253 0.253 0.747
Cl 0.253 0.747 0.253
Cl 0.253 0.747 0.747
Cl 0.747 0.253 0.253
Cl 0.747 0.253 0.747
Cl 0.747 0.747 0.253

Properties
VASP energy (eV per atom): -2.89
SG: No. 225

---

Which formula does entry 5 have?
PmNbB